[1]
Entry from Alexandria via LeMat-Bulk: an optimized crystal structure of InGaIr (GGA-PBE).

Output
Total magnetic moment   0.00 μB per cell
ΔH_f (0 K)   -218 meV per atom
Final energy   -5.09 eV per atom

a = 4.143 Å, b = 2.969 Å, c = 10.077 Å
α = 90.00°, β = 90.00°, γ = 90.00°
Space group Amm2 (No. 38)
Unique sites:
In 0.000 0.000 0.000 (multiplicity 2)
Ga 0.500 0.000 0.251 (multiplicity 2)
Ir 0.000 0.000 0.733 (multiplicity 2)

---

[2]
Entry from Alexandria via LeMat-Bulk: an optimized crystal structure of Be2ZnP (GGA-PBE).

Output
Total magnetic moment   0.00 μB per cell
ΔH_f (0 K)   308 meV per atom
Distance to the lowest polymorph of the same formula   81 meV/atom
Final energy   -3.23 eV per atom

a = 3.128 Å, b = 3.128 Å, c = 4.833 Å
α = 90.00°, β = 90.00°, γ = 90.00°
Space group P4/mmm (No. 123)
Unique sites:
Be 0.000 0.000 0.218 (multiplicity 2)
Zn 0.500 0.500 0.500 (multiplicity 1)
P 0.500 0.500 0.000 (multiplicity 1)

---

[3]
Entry from Alexandria via LeMat-Bulk: an optimized crystal structure of Pa2CuIr (GGA-PBE).

Output
Total magnetic moment   0.00 μB per cell
ΔH_f (0 K)   -369 meV per atom
Distance to the lowest polymorph of the same formula   0 meV/atom
Final energy   -8.36 eV per atom

a = 6.396 Å, b = 5.904 Å, c = 10.390 Å
α = 90.00°, β = 124.52°, γ = 90.00°
Space group P2_1/c (No. 14)
Unique sites:
Pa 0.205 0.124 0.346 (multiplicity 4)
Pa 0.237 0.624 0.604 (multiplicity 4)
Cu 0.368 0.635 0.382 (multiplicity 4)
Ir 0.235 0.124 0.623 (multiplicity 4)

---

[4]
Entry from Alexandria via LeMat-Bulk: an optimized crystal structure of RbCdCo2Cl8 (GGA-PBE).

Output
Energy relative to the elements, uncorrected   -918 meV per atom
Total magnetic moment   21.00 μB per cell
Final energy   -3.49 eV per atom

a = 6.4349 Å, b = 6.4349 Å, c = 28.4238 Å
α = 90.00°, β = 90.00°, γ = 120.00°
Space group R-3 (No. 148, hexagonal axes)
Unique sites:
Rb 0.0000 0.0000 0.0000 (multiplicity 3)
Cd 0.0000 0.0000 0.5000 (multiplicity 3)
Co 0.0000 0.0000 0.2457 (multiplicity 6)
Cl 0.0000 0.0000 0.3224 (multiplicity 6)
Cl 0.0021 0.3313 0.7779 (multiplicity 18)

---

[5]
Entry from Alexandria via LeMat-Bulk: an optimized crystal structure of Mn2AlAu (GGA-PBE).

Output
Total magnetic moment   15.63 μB per cell
ΔH_f (0 K)   22 meV per atom
Distance to the lowest polymorph of the same formula   147 meV/atom
Final energy   -6.32 eV per atom

a = 6.073 Å, b = 6.073 Å, c = 6.073 Å
α = 90.00°, β = 90.00°, γ = 90.00°
Space group F-43m (No. 216)
Unique sites:
Mn 0.000 0.000 0.000 (multiplicity 4)
Mn 0.250 0.250 0.250 (multiplicity 4)
Al 0.250 0.250 0.750 (multiplicity 4)
Au 0.000 0.000 0.500 (multiplicity 4)

---

[6]
Entry from Alexandria via LeMat-Bulk: an optimized crystal structure of SrP2Br (GGA-PBE).

Output
Energy relative to the elements, uncorrected   -598 meV per atom
Total magnetic moment   0.00 μB per cell
Distance to the lowest polymorph of the same formula   229 meV/atom
Final energy   -4.14 eV per atom

a = 4.460 Å, b = 4.460 Å, c = 5.995 Å
α = 90.00°, β = 90.00°, γ = 90.00°
Space group P4/mmm (No. 123)
Unique sites:
Sr 0.000 0.000 0.000 (multiplicity 1)
P 0.500 0.500 0.169 (multiplicity 2)
Br 0.000 0.000 0.500 (multiplicity 1)

---

[7]
Entry from Alexandria via LeMat-Bulk: an optimized crystal structure of Ca4As2H (GGA-PBE).

Output
Total magnetic moment   0.00 μB per cell
Distance to the lowest polymorph of the same formula   0 meV/atom
Final energy   -3.88 eV per atom

a = 4.511 Å, b = 4.511 Å, c = 15.894 Å
α = 90.00°, β = 90.00°, γ = 90.00°
Space group I4/mmm (No. 139)
Unique sites:
Ca 0.000 0.000 0.180 (multiplicity 4)
Ca 0.000 0.500 0.000 (multiplicity 4)
As 0.000 0.000 0.367 (multiplicity 4)
H 0.000 0.000 0.000 (multiplicity 2)

---

[8]
Entry from Alexandria via LeMat-Bulk: an optimized crystal structure of Pu4Te3 (GGA-PBE).

Output
Energy relative to the elements, uncorrected   -866 meV per atom
Total magnetic moment   104.20 μB per cell
Final energy   -10.40 eV per atom

a = 9.324 Å, b = 9.324 Å, c = 9.324 Å
α = 90.00°, β = 90.00°, γ = 90.00°
Space group I-43d (No. 220)
Unique sites:
Pu 0.078 0.422 0.578 (multiplicity 16)
Te 0.000 0.250 0.875 (multiplicity 12)

---

[9]
Entry from Alexandria via LeMat-Bulk: an optimized crystal structure of RbTlPd (GGA-PBE).

Output
Total magnetic moment   0.00 μB per cell
ΔH_f (0 K)   -79 meV per atom
Distance to the lowest polymorph of the same formula   84 meV/atom
Final energy   -2.92 eV per atom

a = 4.7279 Å, b = 4.7279 Å, c = 5.3842 Å
α = 90.00°, β = 90.00°, γ = 120.00°
Space group P-6m2 (No. 187)
Unique sites:
Rb 0.0000 0.0000 0.0000 (multiplicity 1)
Tl 0.6667 0.3333 0.5000 (multiplicity 1)
Pd 0.3333 0.6667 0.5000 (multiplicity 1)

---

[10]
Entry from Alexandria via LeMat-Bulk: an optimized crystal structure of Pm5P4O (GGA-PBE).

Output
Energy relative to the elements, uncorrected   -1773 meV per atom
Total magnetic moment   0.00 μB per cell
Final energy   -6.81 eV per atom

a = 9.002 Å, b = 9.002 Å, c = 5.799 Å
α = 90.00°, β = 90.00°, γ = 90.00°
Space group I4 (No. 79)
Unique sites:
Pm 0.000 0.000 0.000 (multiplicity 2)
Pm 0.098 0.709 0.554 (multiplicity 8)
P 0.096 0.700 0.054 (multiplicity 8)
O 0.000 0.000 0.607 (multiplicity 2)

---

[11]
Entry from Alexandria via LeMat-Bulk: an optimized crystal structure of TaSb2Pd9 (GGA-PBE).

Output
Energy relative to the elements, uncorrected   -401 meV per atom
Total magnetic moment   0.00 μB per cell
Final energy   -5.97 eV per atom

a = 4.012 Å, b = 4.012 Å, c = 12.246 Å
α = 90.00°, β = 90.00°, γ = 90.00°
Space group P4/mmm (No. 123)
Unique sites:
Ta 0.000 0.000 0.000 (multiplicity 1)
Sb 0.000 0.000 0.337 (multiplicity 2)
Pd 0.000 0.500 0.155 (multiplicity 4)
Pd 0.000 0.500 0.500 (multiplicity 2)
Pd 0.500 0.500 0.000 (multiplicity 1)
Pd 0.500 0.500 0.324 (multiplicity 2)

---

[12]
Entry from Alexandria via LeMat-Bulk: an optimized crystal structure of Si2Au (GGA-PBE).

Output
Energy relative to the elements, uncorrected   375 meV per atom
Total magnetic moment   0.00 μB per cell
Distance to the lowest polymorph of the same formula   278 meV/atom
Final energy   -4.33 eV per atom

a = 3.666 Å, b = 3.666 Å, c = 15.585 Å
α = 90.00°, β = 90.00°, γ = 90.00°
Space group I4_1/amd (No. 141, origin choice 2)
Unique sites:
Si 0.000 0.250 0.298 (multiplicity 8)
Au 0.000 0.250 0.875 (multiplicity 4)

---

[13]
Entry from Alexandria via LeMat-Bulk: an optimized crystal structure of ReWSe2N (GGA-PBE).

Output
Energy relative to the elements, uncorrected   1049 meV per atom
Total magnetic moment   3.15 μB per cell
Distance to the lowest polymorph of the same formula   0 meV/atom
Final energy   -7.09 eV per atom

a = 5.037 Å, b = 5.037 Å, c = 3.688 Å
α = 90.00°, β = 90.00°, γ = 90.00°
Space group P4/mmm (No. 123)
Unique sites:
Re 0.000 0.000 0.000 (multiplicity 1)
W 0.500 0.500 0.500 (multiplicity 1)
Se 0.000 0.500 0.000 (multiplicity 2)
N 0.000 0.000 0.500 (multiplicity 1)

---

[14]
Entry from Alexandria via LeMat-Bulk: an optimized crystal structure of Nd10Dy4Th (GGA-PBE).

Output
Total magnetic moment   0.00 μB per cell
ΔH_f (0 K)   456 meV per atom
Final energy   -4.44 eV per atom

a = 10.061 Å, b = 10.061 Å, c = 10.936 Å
α = 90.00°, β = 90.00°, γ = 90.00°
Space group I4/m (No. 87)
Unique sites:
Nd 0.000 0.500 0.250 (multiplicity 4)
Nd 0.119 0.776 0.172 (multiplicity 16)
Dy 0.059 0.723 0.500 (multiplicity 8)
Th 0.000 0.000 0.000 (multiplicity 2)